(1)
# PBE-GGA MnIn2Br, relaxed
# Distance to the lowest polymorph of the same formula = 103 meV per atom
data_MnIn2Br
_cell_length_a 3.255
_cell_length_b 5.430
_cell_length_c 5.442
_cell_angle_alpha 91.34
_cell_angle_beta 90.57
_cell_angle_gamma 90.02
_symmetry_space_group_name_H-M 'P -1'
_symmetry_Int_Tables_number 2
loop_
_symmetry_equiv_pos_as_xyz
'x,y,z'
'-x,-y,-z'
loop_
_atom_site_label
_atom_site_type_symbol
_atom_site_fract_x
_atom_site_fract_y
_atom_site_fract_z
Mn1 Mn 0.000 0.000 0.000
In1 In 0.500 0.000 0.500
In2 In 0.500 0.500 0.000
Br1 Br 0.000 0.500 0.500

(2)
# PBE-GGA SiHg2Ir, relaxed
# VASP energy = -14.58 eV for the cell shown
data_SiHg2Ir
_cell_length_a 2.987
_cell_length_b 2.987
_cell_length_c 8.725
_cell_angle_alpha 90.00
_cell_angle_beta 90.00
_cell_angle_gamma 90.00
_symmetry_space_group_name_H-M 'P 4 m m'
_symmetry_Int_Tables_number 99
loop_
_symmetry_equiv_pos_as_xyz
'x,y,z'
'-y,x,z'
'-x,-y,z'
'y,-x,z'
'-x,y,z'
'y,x,z'
'x,-y,z'
'-y,-x,z'
loop_
_atom_site_label
_atom_site_type_symbol
_atom_site_fract_x
_atom_site_fract_y
_atom_site_fract_z
Si1 Si 0.000 0.000 0.000
Hg1 Hg 0.000 0.000 0.599
Hg2 Hg 0.500 0.500 0.282
Ir1 Ir 0.500 0.500 0.855

(3)
# PBE-GGA Pm4Sn2B, relaxed
# ΔH_f (0 K) = -0.449 eV per atom
data_Pm4Sn2B
_cell_length_a 4.984
_cell_length_b 4.984
_cell_length_c 16.669
_cell_angle_alpha 90.00
_cell_angle_beta 90.00
_cell_angle_gamma 90.00
_symmetry_space_group_name_H-M 'I 4/m m m'
_symmetry_Int_Tables_number 139
_symmetry_space_group_name_Hall '-I 4 2'
loop_
_atom_site_label
_atom_site_type_symbol
_atom_site_fract_x
_atom_site_fract_y
_atom_site_fract_z
Pm1 Pm 0.000 0.000 0.168
Pm2 Pm 0.000 0.500 0.000
Sn1 Sn 0.000 0.000 0.362
B1 B 0.000 0.000 0.000

Number 1: V 96.2 Å³/cell. Number 2: V 77.9 Å³/cell. Number 3: V 414.1 Å³/cell.